BeW2, single point on PBEsol structure, DFT meta-GGA SCAN; DFT formation energy = 0.23 eV per atom; density = 15.58 g cm⁻³; energy = -47.676 eV per atom; space-group type = P6_3/mmc, No. 194; D(E_F) = 3.5 states/eV per cell; energy above the lowest structure with this stoichiometry = 0.069 eV per atom
1.0
4.257 0.000 0.000
-2.129 3.687 0.000
0.000 0.000 5.115
Be W
2 4
Cartesian
0.000 2.458 1.279 Be
2.129 1.229 3.836 Be
0.000 0.000 0.000 W
0.000 0.000 2.557 W
0.000 2.458 3.836 W
2.129 1.229 1.279 W